TiCoP | Alexandria via LeMat-Bulk | PBE | relaxed; ρ = 6246 kg/m3; ΔE_f = -1.15 eV per atom; energy = -0.5844 Ry per atom; total moment = 0.0 μB per cell
1.0
6.0273 0.0000 0.0000
0.0000 3.5513 0.0000
0.0000 0.0000 6.8453
Ti Co P
4 4 4
direct
0.0244 0.2500 0.1786
0.4756 0.7500 0.6786
0.5244 0.2500 0.3214
0.9756 0.7500 0.8214
0.1400 0.2500 0.5624
0.3600 0.7500 0.0624
0.6400 0.2500 0.9376
0.8600 0.7500 0.4376
0.2330 0.7500 0.3787
0.2670 0.2500 0.8787
0.7330 0.7500 0.1213
0.7670 0.2500 0.6213

La7Nd3Dy2 | Alexandria via LeMat-Bulk | PBE | relaxed; ρ = 6699 kg/m3; ΔE_f = 0.08 eV per atom; energy = -0.3491 Ry per atom; energy above the lowest structure with this stoichiometry = 18.7 meV/atom; total moment = 0.0 μB per cell
1.0
6.0292 0.0000 0.0000
0.0000 3.6440 0.0000
-1.2132 0.0000 19.5193
La Nd Dy
7 3 2
direct
0.0000 0.0000 0.0000
0.1817 0.5000 0.1831
0.2559 0.5000 0.5335
0.3209 0.0000 0.8531
0.6791 0.0000 0.1469
0.7441 0.5000 0.4665
0.8183 0.5000 0.8169
0.2224 0.0000 0.3640
0.5000 0.5000 0.0000
0.7776 0.0000 0.6360
0.2879 0.5000 0.7025
0.7121 0.5000 0.2975

GdTm3 | Alexandria via LeMat-Bulk | PBE | relaxed; ρ = 8888 kg/m3; ΔE_f = 0.00 eV per atom; energy = -0.5053 Ry per atom; energy above the lowest structure with this stoichiometry = 0.0 meV/atom; total moment = 7.7 μB per cell
1.0
-1.7893 5.5937 3.0988
1.7893 -5.5937 3.0988
1.7893 5.5937 -3.0988
Gd Tm
1 3
direct
0.0000 0.0000 0.0000
0.4163 0.6632 0.7531
0.4965 0.9965 0.5000
0.9101 0.6632 0.2469

YZr2Cu9 | Alexandria via LeMat-Bulk | PBE | relaxed; ρ = 7701 kg/m3; ΔE_f = -0.15 eV per atom; energy = -0.3809 Ry per atom; total moment = 0.0 μB per cell
1.0
2.5384 1.4655 8.1470
-2.5384 1.4655 8.1470
0.0000 -2.9311 8.1470
Y Zr Cu
1 2 9
direct
0.0000 0.0000 0.0000
0.1513 0.1513 0.1513
0.8487 0.8487 0.8487
0.0837 0.5838 0.5838
0.3323 0.3323 0.3323
0.4162 0.4162 0.9163
0.4162 0.9163 0.4162
0.5000 0.5000 0.5000
0.5838 0.0837 0.5838
0.5838 0.5838 0.0837
0.6677 0.6677 0.6677
0.9163 0.4162 0.4162

Q: What is the formula in the fourth record?
A: YZr2Cu9